An optimized crystal structure of SrCoMo2Pb. Source: Alexandria via LeMat-Bulk, functional GGA-PBEsol.

The structure belongs to space group P4/mmm (No. 123); the cell edges are 5.2050, 5.2050 and 4.7767 Å and the angles 90.00°, 90.00° and 90.00°. The distinct sites, in fractional coordinates, are Sr at (0.0000, 0.0000, 0.0000), Co at (0.5000, 0.5000, 0.0000), Mo at (0.0000, 0.5000, 0.5000) and Pb at (0.5000, 0.5000, 0.5000).

The value obtained for the volume is 25.882 A^3/atom. For the total magnetization, the calculation gives 6.3 μB per cell. For the formation energy, the calculation gives 1.876 eV per atom. As for the density of states at the Fermi level: 7.82 states/eV/f.u. The value obtained for the total energy is -5.546 eV per atom.